Entry 1:
A plane-wave DFT calculation with PBE-GGA was carried out for a relaxed DyEr2Mg3Ir3 crystal.

Results
Total magnetization, μB/f.u.: 0.00
Total DFT energy (no corrections), eV per atom: -5.69

Unit cell a=4.044 b=7.220 c=7.220 alpha=120.06 beta=90.00 gamma=90.00
Positions (direct):
Dy1 0.000 0.000 0.000
Er1 0.000 0.409 0.817
Er2 0.000 0.817 0.409
Mg1 0.500 0.164 0.410
Mg2 0.500 0.410 0.164
Mg3 0.500 0.655 0.655
Ir1 0.000 0.410 0.410
Ir2 0.500 0.076 0.741
Ir3 0.500 0.741 0.076

***

Entry 2:
A plane-wave DFT calculation with PBE-GGA was carried out for a relaxed KLuZnTe3 crystal.

Results
Total magnetization, μB/f.u.: 0.00
Total DFT energy (no corrections), eV per atom: -3.75

Unit cell a=9.170 b=4.347 c=10.923 alpha=90.00 beta=109.67 gamma=90.00
Positions (direct):
K1 0.243 0.250 0.278
K2 0.757 0.750 0.722
Lu1 0.321 0.750 0.860
Lu2 0.679 0.250 0.140
Zn1 0.080 0.250 0.608
Zn2 0.920 0.750 0.392
Te1 0.084 0.250 0.849
Te2 0.228 0.750 0.553
Te3 0.453 0.750 0.150
Te4 0.547 0.250 0.850
Te5 0.772 0.250 0.447
Te6 0.916 0.750 0.151

***

Entry 3:
A plane-wave DFT calculation with PBE-GGA was carried out for a relaxed TbDyEr crystal.

Results
Total magnetization, μB/f.u.: 0.01
Total DFT energy (no corrections), eV per atom: -3.88

Unit cell a=5.384 b=5.384 c=5.384 alpha=60.00 beta=60.00 gamma=60.00
Positions (direct):
Tb1 0.000 0.000 0.000
Dy1 0.500 0.500 0.500
Er1 0.750 0.750 0.750

***

Entry 4:
A plane-wave DFT calculation with PBE-GGA was carried out for a relaxed YTlFeRe crystal.

Results
Total magnetization, μB/f.u.: 3.09
Total DFT energy (no corrections), eV per atom: -6.70

Unit cell a=4.758 b=4.758 c=4.758 alpha=60.00 beta=60.00 gamma=60.00
Positions (direct):
Y1 0.000 0.000 0.000
Tl1 0.500 0.500 0.500
Fe1 0.750 0.750 0.750
Re1 0.250 0.250 0.250

***

What did the fourth record say?
A plane-wave DFT calculation with PBE-GGA was carried out for a relaxed YTlFeRe crystal.

Results
Total magnetization, μB/f.u.: 3.09
Total DFT energy (no corrections), eV per atom: -6.70

Unit cell a=4.758 b=4.758 c=4.758 alpha=60.00 beta=60.00 gamma=60.00
Positions (direct):
Y1 0.000 0.000 0.000
Tl1 0.500 0.500 0.500
Fe1 0.750 0.750 0.750
Re1 0.250 0.250 0.250